(1)
# ThGa2Tc2C | the Alexandria database | PBE | optimized geometry
# D(E_F): 3.251 states/eV per cell
# electronic total energy: -7.669 eV/atom
# formation energy from the elements: -0.431 eV/atom
data_ThGa2Tc2C
_space_group_name_H-M_alt 'P 4/m m m'
_space_group_IT_number 123
_space_group_name_Hall '-P 4 2'
_cell_length_a 4.213
_cell_length_b 4.213
_cell_length_c 5.498
_cell_angle_alpha 90.00
_cell_angle_beta 90.00
_cell_angle_gamma 90.00
loop_
_atom_site_label
_atom_site_type_symbol
_atom_site_fract_x
_atom_site_fract_y
_atom_site_fract_z
Th1 Th 0.000 0.000 0.000
Ga1 Ga 0.500 0.500 0.225
Tc1 Tc 0.000 0.500 0.500
C1 C 0.000 0.000 0.500

=====

(2)
# Ti2GaTcC | the Alexandria database | PBE | optimized geometry
# D(E_F): 3.404 states/eV per cell
# electronic total energy: -8.108 eV/atom
# formation energy from the elements: -0.426 eV/atom
data_Ti2GaTcC
_space_group_name_H-M_alt 'P 4/m m m'
_space_group_IT_number 123
_space_group_name_Hall '-P 4 2'
_cell_length_a 4.178
_cell_length_b 4.178
_cell_length_c 4.026
_cell_angle_alpha 90.00
_cell_angle_beta 90.00
_cell_angle_gamma 90.00
loop_
_atom_site_label
_atom_site_type_symbol
_atom_site_fract_x
_atom_site_fract_y
_atom_site_fract_z
Ti1 Ti 0.000 0.500 0.000
Ga1 Ga 0.000 0.000 0.500
Tc1 Tc 0.500 0.500 0.500
C1 C 0.500 0.500 0.000

=====

(3)
# TiGaTc2C | the Alexandria database | PBE | optimized geometry
# D(E_F): 3.447 states/eV per cell
# electronic total energy: -8.374 eV/atom
# formation energy from the elements: -0.199 eV/atom
data_TiGaTc2C
_space_group_name_H-M_alt 'P 4/m m m'
_space_group_IT_number 123
_space_group_name_Hall '-P 4 2'
_cell_length_a 4.094
_cell_length_b 4.094
_cell_length_c 4.077
_cell_angle_alpha 90.00
_cell_angle_beta 90.00
_cell_angle_gamma 90.00
loop_
_atom_site_label
_atom_site_type_symbol
_atom_site_fract_x
_atom_site_fract_y
_atom_site_fract_z
Ti1 Ti 0.000 0.000 0.000
Ga1 Ga 0.500 0.500 0.000
Tc1 Tc 0.000 0.500 0.500
C1 C 0.000 0.000 0.500

=====

(4)
# Tm2Ga2Tc2C | the Alexandria database | PBE | optimized geometry
# D(E_F): 4.325 states/eV per cell
# electronic total energy: -6.939 eV/atom
# formation energy from the elements: -0.517 eV/atom
data_Tm2Ga2Tc2C
_space_group_name_H-M_alt 'C 1 2/m 1'
_space_group_IT_number 12
_cell_length_a 11.132
_cell_length_b 3.617
_cell_length_c 7.300
_cell_angle_alpha 90.00
_cell_angle_beta 124.12
_cell_angle_gamma 90.00
loop_
_space_group_symop_operation_xyz
'x,y,z'
'-x,-y,-z'
'-x,y,-z'
'x,-y,z'
'x+1/2,y+1/2,z'
'-x+1/2,-y+1/2,-z'
'-x+1/2,y+1/2,-z'
'x+1/2,-y+1/2,z'
loop_
_atom_site_label
_atom_site_type_symbol
_atom_site_fract_x
_atom_site_fract_y
_atom_site_fract_z
Tm1 Tm 0.070 0.000 0.282
Ga1 Ga 0.134 0.500 0.657
Tc1 Tc 0.196 0.500 0.069
C1 C 0.000 0.500 0.000

=====

(5)
# TmGa2Tc2C | the Alexandria database | PBE | optimized geometry
# D(E_F): 3.476 states/eV per cell
# electronic total energy: -7.093 eV/atom
# formation energy from the elements: -0.346 eV/atom
data_TmGa2Tc2C
_space_group_name_H-M_alt 'P 4/m m m'
_space_group_IT_number 123
_space_group_name_Hall '-P 4 2'
_cell_length_a 4.150
_cell_length_b 4.150
_cell_length_c 5.464
_cell_angle_alpha 90.00
_cell_angle_beta 90.00
_cell_angle_gamma 90.00
loop_
_atom_site_label
_atom_site_type_symbol
_atom_site_fract_x
_atom_site_fract_y
_atom_site_fract_z
Tm1 Tm 0.000 0.000 0.000
Ga1 Ga 0.500 0.500 0.219
Tc1 Tc 0.000 0.500 0.500
C1 C 0.000 0.000 0.500

=====

(6)
# VGaTc2C | the Alexandria database | PBE | optimized geometry
# D(E_F): 4.348 states/eV per cell
# electronic total energy: -8.485 eV/atom
# formation energy from the elements: -0.064 eV/atom
data_VGaTc2C
_space_group_name_H-M_alt 'P 4/m m m'
_space_group_IT_number 123
_space_group_name_Hall '-P 4 2'
_cell_length_a 4.089
_cell_length_b 4.089
_cell_length_c 3.931
_cell_angle_alpha 90.00
_cell_angle_beta 90.00
_cell_angle_gamma 90.00
loop_
_atom_site_label
_atom_site_type_symbol
_atom_site_fract_x
_atom_site_fract_y
_atom_site_fract_z
V1 V 0.000 0.000 0.000
Ga1 Ga 0.500 0.500 0.000
Tc1 Tc 0.000 0.500 0.500
C1 C 0.000 0.000 0.500

=====

Question: What is the electronic total energy in the fifth record?
Answer: -7.093 eV/atom

=====

Question: Which value of D(E_F) does entry 3 give?
Answer: 3.447 states/eV per cell

=====

Question: Look up the formation energy from the elements of the third one.
Answer: -0.199 eV/atom

=====

Question: Among the records above, which one has the highest formation energy from the elements?
Answer: VGaTc2C